Computed, not measured: BiPt2I at its PBEsol-relaxed geometry at the meta-GGA SCAN level of DFT.

As for the calculated density: 14.53 g cm⁻³. The symmetry is No. 225. As for the spin magnetization: 0.00 μB per formula unit. The uncorrected formation energy is 0.52 eV per atom. Its density of states at the Fermi level is 1.637 states/eV/f.u.

abc: 4.896 4.896 4.896
angles: 60.00 60.00 60.00
Fractional coordinates of all 4 atoms:
Bi 0.000 0.000 0.000
Pt 0.250 0.250 0.250
Pt 0.750 0.750 0.750
I 0.500 0.500 0.500


Computed, not measured: Al2ZnAs2 at its PBEsol-relaxed geometry at the meta-GGA SCAN level of DFT.

As for the calculated density: 4.20 g cm⁻³. The value obtained for the formation energy from the elements is 0.01 eV/atom. The symmetry is No. 139. As for the spin magnetization: 0.00 μB per formula unit. Its density of states at the Fermi level is 0.634 states/eV/f.u.

abc: 7.095 7.095 7.095
angles: 146.83 146.83 47.61
Fractional coordinates of all 5 atoms:
Al 0.250 0.750 0.500
Al 0.750 0.250 0.500
Zn 0.000 0.000 0.000
As 0.369 0.369 0.000
As 0.631 0.631 0.000


Computed, not measured: Sb2TeRu at its PBEsol-relaxed geometry at the meta-GGA SCAN level of DFT.

As for the calculated density: 7.87 g cm⁻³. The symmetry is No. 71. As for the spin magnetization: 0.00 μB per formula unit. The uncorrected formation energy is -0.29 eV per atom. Its density of states at the Fermi level is 0.211 states/eV/f.u.

abc: 8.028 8.028 8.028
angles: 110.19 109.16 109.07
Fractional coordinates of all 16 atoms:
Sb 0.159 0.004 0.845
Sb 0.159 0.314 0.155
Sb 0.346 0.161 0.506
Sb 0.346 0.839 0.185
Sb 0.654 0.161 0.815
Sb 0.654 0.839 0.494
Sb 0.841 0.686 0.845
Sb 0.841 0.996 0.155
Te 0.014 0.341 0.673
Te 0.332 0.659 0.673
Te 0.668 0.341 0.327
Te 0.986 0.659 0.327
Ru 0.000 0.000 0.500
Ru 0.000 0.500 0.000
Ru 0.500 0.000 0.000
Ru 0.500 0.500 0.500


Computed, not measured: CaFe2Se at its PBEsol-relaxed geometry at the meta-GGA SCAN level of DFT.

As for the calculated density: 5.96 g cm⁻³. Its energy above the most stable polymorph in this dataset is 246 meV/atom. The symmetry is No. 216. As for the spin magnetization: 5.51 μB per formula unit. The uncorrected formation energy is 0.17 eV per atom. Its density of states at the Fermi level is 2.091 states/eV/f.u.

abc: 4.496 4.496 4.496
angles: 60.00 60.00 60.00
Fractional coordinates of all 4 atoms:
Ca 0.000 0.000 0.000
Fe 0.500 0.500 0.500
Fe 0.750 0.750 0.750
Se 0.250 0.250 0.250


Computed, not measured: TePt2Se at its PBEsol-relaxed geometry at the meta-GGA SCAN level of DFT.

As for the calculated density: 11.94 g cm⁻³. Its energy above the most stable polymorph in this dataset is 0 meV/atom. The symmetry is No. 160. As for the spin magnetization: 0.00 μB per formula unit. The uncorrected formation energy is -0.43 eV per atom. Its density of states at the Fermi level is 1.924 states/eV/f.u.

abc: 6.878 6.878 6.878
angles: 32.39 32.39 32.39
Fractional coordinates of all 4 atoms:
Te 0.000 0.000 0.000
Pt 0.266 0.266 0.266
Pt 0.521 0.521 0.521
Se 0.800 0.800 0.800


Computed, not measured: La2MgZr at its PBEsol-relaxed geometry at the meta-GGA SCAN level of DFT.

As for the calculated density: 5.95 g cm⁻³. The value obtained for the formation energy from the elements is 0.17 eV/atom. The symmetry is No. 216. As for the spin magnetization: 2.21 μB per formula unit. Its density of states at the Fermi level is 4.725 states/eV/f.u.

abc: 5.375 5.375 5.375
angles: 60.00 60.00 60.00
Fractional coordinates of all 4 atoms:
La 0.000 0.000 0.000
La 0.250 0.250 0.250
Mg 0.500 0.500 0.500
Zr 0.750 0.750 0.750


Computed, not measured: Y3HgTe at its PBEsol-relaxed geometry at the meta-GGA SCAN level of DFT.

As for the calculated density: 5.89 g cm⁻³. The symmetry is No. 221. As for the spin magnetization: 0.00 μB per formula unit. The uncorrected formation energy is -0.31 eV per atom. Its density of states at the Fermi level is 3.267 states/eV/f.u.

abc: 5.514 5.514 5.514
angles: 90.00 90.00 90.00
Fractional coordinates of all 5 atoms:
Y 0.000 0.000 0.500
Y 0.000 0.500 0.000
Y 0.500 0.000 0.000
Hg 0.000 0.000 0.000
Te 0.500 0.500 0.500


Computed, not measured: La2Pt2O7 at its PBEsol-relaxed geometry at the meta-GGA SCAN level of DFT.

As for the calculated density: 9.00 g cm⁻³. Its energy above the most stable polymorph in this dataset is 0 meV/atom. The symmetry is No. 227. As for the spin magnetization: 0.00 μB per formula unit. The uncorrected formation energy is -2.19 eV per atom.

abc: 7.411 7.411 7.411
angles: 60.00 60.00 60.00
Fractional coordinates of all 22 atoms:
La 0.000 0.000 0.000
La 0.000 0.000 0.500
La 0.000 0.500 0.000
La 0.500 0.000 0.000
Pt 0.000 0.500 0.500
Pt 0.500 0.000 0.500
Pt 0.500 0.500 0.000
Pt 0.500 0.500 0.500
O 0.125 0.125 0.125
O 0.168 0.168 0.582
O 0.168 0.582 0.168
O 0.168 0.582 0.582
O 0.418 0.418 0.832
O 0.418 0.832 0.418
O 0.418 0.832 0.832
O 0.582 0.168 0.168
O 0.582 0.168 0.582
O 0.582 0.582 0.168
O 0.832 0.418 0.418
O 0.832 0.418 0.832
O 0.832 0.832 0.418
O 0.875 0.875 0.875


Computed, not measured: Ir2NO at its PBEsol-relaxed geometry at the meta-GGA SCAN level of DFT.

As for the calculated density: 16.65 g cm⁻³. The symmetry is No. 225. As for the spin magnetization: 0.00 μB per formula unit. The uncorrected formation energy is 1.48 eV per atom. Its density of states at the Fermi level is 3.827 states/eV/f.u.

abc: 3.881 3.881 3.881
angles: 60.00 60.00 60.00
Fractional coordinates of all 4 atoms:
Ir 0.250 0.250 0.250
Ir 0.750 0.750 0.750
N 0.000 0.000 0.000
O 0.500 0.500 0.500


Computed, not measured: K3CuN at its PBEsol-relaxed geometry at the meta-GGA SCAN level of DFT.

As for the calculated density: 2.12 g cm⁻³. The symmetry is No. 221. As for the spin magnetization: 1.00 μB per formula unit. The uncorrected formation energy is 0.54 eV per atom. Its density of states at the Fermi level is 2.081 states/eV/f.u.

abc: 5.342 5.342 5.342
angles: 90.00 90.00 90.00
Fractional coordinates of all 5 atoms:
K 0.000 0.000 0.500
K 0.000 0.500 0.000
K 0.500 0.000 0.000
Cu 0.500 0.500 0.500
N 0.000 0.000 0.000


Computed, not measured: Ba2SiAuC at its PBEsol-relaxed geometry at the meta-GGA SCAN level of DFT.

As for the calculated density: 6.75 g cm⁻³. The symmetry is No. 123. As for the spin magnetization: 0.00 μB per formula unit. The uncorrected formation energy is -0.14 eV per atom. Its density of states at the Fermi level is 2.621 states/eV/f.u.

abc: 5.834 5.834 3.697
angles: 90.00 90.00 90.00
Fractional coordinates of all 5 atoms:
Ba 0.000 0.500 0.000
Ba 0.500 0.000 0.000
Si 0.000 0.000 0.500
Au 0.500 0.500 0.500
C 0.000 0.000 0.000


Computed, not measured: ZrAlSi2 at its PBEsol-relaxed geometry at the meta-GGA SCAN level of DFT.

As for the calculated density: 3.54 g cm⁻³. The symmetry is No. 156. As for the spin magnetization: 0.00 μB per formula unit. The uncorrected formation energy is 0.02 eV per atom. Its density of states at the Fermi level is 1.679 states/eV/f.u.

abc: 3.691 3.691 6.942
angles: 90.00 90.00 120.00
Fractional coordinates of all 4 atoms:
Zr 0.000 0.000 0.000
Al 0.333 0.667 0.393
Si 0.333 0.667 0.742
Si 0.667 0.333 0.226